1.
The following is a DFT calculation (PBE) of a relaxed BeRe3Rh crystal.

abc: 4.115 4.115 4.115
angles: 90.00 90.00 90.00
Sites, in units of the cell vectors:
1 Re 0.000 0.500 0.000
2 Re 0.000 0.000 0.500
3 Re 0.500 0.000 0.000
4 Rh 0.500 0.500 0.500
5 Be 0.000 0.000 0.000

Total energy ... -45.217 eV per cell
Space-group type ... Pm-3m, No. 221
Energy relative to the elements ... 641 meV per atom
E above lowest polymorph ... 0.000 eV per atom
N(E_F) ... 3.7 states/eV/f.u.


2.
The following is a DFT calculation (PBE) of a relaxed BeReRh2 crystal.

abc: 6.083 4.532 2.718
angles: 89.95 63.54 122.51
Sites, in units of the cell vectors:
1 Re 0.500 0.500 0.000
2 Rh 0.000 0.000 0.000
3 Rh 0.500 0.000 0.500
4 Be 0.000 0.500 0.500

Total energy ... -31.110 eV per cell
Space-group type ... Cmmm, No. 65
Energy relative to the elements ... -58 meV per atom
N(E_F) ... 3.2 states/eV/f.u.


3.
The following is a DFT calculation (PBE) of a relaxed Be2ReRh crystal.

abc: 5.979 5.979 4.996
angles: 53.25 53.25 90.00
Sites, in units of the cell vectors:
1 Re 0.000 0.000 0.000
2 Re 0.750 0.250 0.500
3 Rh 0.500 0.500 0.000
4 Rh 0.250 0.750 0.500
5 Be 0.611 0.125 0.250
6 Be 0.139 0.625 0.250
7 Be 0.375 0.389 0.750
8 Be 0.875 0.861 0.750

Total energy ... -52.691 eV per cell
Space-group type ... I-42d, No. 122
Energy relative to the elements ... 227 meV per atom
E above lowest polymorph ... 0.500 eV per atom
N(E_F) ... 1.2 states/eV/f.u.


4.
The following is a DFT calculation (PBE) of a relaxed BeReRh2 crystal.

abc: 4.703 4.703 4.703
angles: 133.96 133.96 67.15
Sites, in units of the cell vectors:
1 Re 0.750 0.250 0.500
2 Rh 0.000 0.000 0.000
3 Rh 0.250 0.750 0.500
4 Be 0.500 0.500 0.000

Total energy ... -30.901 eV per cell
Space-group type ... I-4m2, No. 119
Energy relative to the elements ... -6 meV per atom
N(E_F) ... 4.0 states/eV/f.u.


5.
The following is a DFT calculation (PBE) of a relaxed BeReRh2 crystal.

abc: 3.596 3.857 3.857
angles: 90.00 90.00 90.00
Sites, in units of the cell vectors:
1 Re 0.500 0.000 0.500
2 Rh 0.000 0.000 0.000
3 Rh 0.000 0.500 0.500
4 Be 0.500 0.500 0.000

Total energy ... -30.389 eV per cell
Space-group type ... P4/mmm, No. 123
Energy relative to the elements ... 122 meV per atom
N(E_F) ... 5.4 states/eV/f.u.


6.
The following is a DFT calculation (PBE) of a relaxed Be2ReRh crystal.

abc: 2.762 2.762 5.820
angles: 90.00 90.00 90.00
Sites, in units of the cell vectors:
1 Re 0.500 0.500 0.250
2 Rh 0.500 0.500 0.750
3 Be 0.000 0.000 0.974
4 Be 0.000 0.000 0.526

Total energy ... -28.347 eV per cell
Space-group type ... P4/mmm, No. 123
Energy relative to the elements ... -274 meV per atom
E above lowest polymorph ... 0.000 eV per atom
N(E_F) ... 2.0 states/eV/f.u.


7.
The following is a DFT calculation (PBE) of a relaxed BeReRh2 crystal.

abc: 4.564 4.564 4.564
angles: 131.08 131.08 71.68
Sites, in units of the cell vectors:
1 Re 0.750 0.250 0.500
2 Rh 0.000 0.000 0.000
3 Rh 0.500 0.500 0.000
4 Be 0.250 0.750 0.500

Total energy ... -31.184 eV per cell
Space-group type ... I4/mmm, No. 139
Energy relative to the elements ... -77 meV per atom
N(E_F) ... 3.8 states/eV/f.u.


8.
The following is a DFT calculation (PBE) of a relaxed Be2Re2Rh crystal.

abc: 5.903 5.903 3.358
angles: 90.00 90.00 90.00
Sites, in units of the cell vectors:
1 Re 0.169 0.669 0.500
2 Re 0.669 0.831 0.500
3 Re 0.831 0.331 0.500
4 Re 0.331 0.169 0.500
5 Rh 0.000 0.000 0.000
6 Rh 0.500 0.500 0.000
7 Be 0.375 0.875 0.000
8 Be 0.875 0.625 0.000
9 Be 0.625 0.125 0.000
10 Be 0.125 0.375 0.000

Total energy ... -80.664 eV per cell
Space-group type ... P4/mbm, No. 127
Energy relative to the elements ... -126 meV per atom
N(E_F) ... 3.9 states/eV/f.u.


9.
The following is a DFT calculation (PBE) of a relaxed BeRe2Rh crystal.

abc: 2.717 3.925 5.091
angles: 90.00 90.00 90.00
Sites, in units of the cell vectors:
1 Re 0.000 0.000 0.980
2 Re 0.000 0.000 0.520
3 Rh 0.500 0.500 0.250
4 Be 0.500 0.500 0.750

Total energy ... -35.834 eV per cell
Space-group type ... Pmmm, No. 47
Energy relative to the elements ... 35 meV per atom
N(E_F) ... 2.1 states/eV/f.u.


10.
The following is a DFT calculation (PBE) of a relaxed Be2ReRh crystal.

abc: 2.783 4.522 3.816
angles: 90.00 90.00 90.00
Sites, in units of the cell vectors:
1 Re 0.500 0.000 0.500
2 Rh 0.000 0.500 0.500
3 Be 0.000 0.000 0.000
4 Be 0.500 0.500 0.000

Total energy ... -27.127 eV per cell
Space-group type ... Pmmm, No. 47
Energy relative to the elements ... 31 meV per atom
E above lowest polymorph ... 0.305 eV per atom
N(E_F) ... 3.2 states/eV/f.u.


11.
The following is a DFT calculation (PBE) of a relaxed Be2ReRh crystal.

abc: 4.895 4.553 2.632
angles: 77.07 83.02 120.16
Sites, in units of the cell vectors:
1 Re 0.000 0.500 0.500
2 Rh 0.500 0.500 0.000
3 Be 0.000 0.000 0.000
4 Be 0.500 0.000 0.500

Total energy ... -27.419 eV per cell
Space-group type ... C2/m, No. 12
Energy relative to the elements ... -42 meV per atom
E above lowest polymorph ... 0.232 eV per atom
N(E_F) ... 2.7 states/eV/f.u.


12.
The following is a DFT calculation (PBE) of a relaxed BeRe2Rh crystal.

abc: 4.539 4.539 4.719
angles: 81.59 81.59 34.85
Sites, in units of the cell vectors:
1 Re 0.998 0.998 0.994
2 Re 0.754 0.754 0.776
3 Rh 0.499 0.499 0.465
4 Be 0.248 0.248 0.265

Total energy ... -35.747 eV per cell
Space-group type ... Cm, No. 8
Energy relative to the elements ... 57 meV per atom
N(E_F) ... 3.3 states/eV/f.u.


13.
The following is a DFT calculation (PBE) of a relaxed BeReRh2 crystal.

abc: 4.975 4.975 4.975
angles: 147.47 128.47 62.28
Sites, in units of the cell vectors:
1 Re 0.278 0.778 0.500
2 Rh 0.001 0.001 0.000
3 Rh 0.714 0.214 0.500
4 Be 0.507 0.507 0.000

Total energy ... -31.599 eV per cell
Space-group type ... Imm2, No. 44
Energy relative to the elements ... -181 meV per atom
N(E_F) ... 2.1 states/eV/f.u.


14.
The following is a DFT calculation (PBE) of a relaxed BeRe2Rh crystal.

abc: 2.792 2.792 6.671
angles: 90.00 90.00 90.00
Sites, in units of the cell vectors:
1 Re 0.000 0.000 0.974
2 Re 0.500 0.500 0.251
3 Rh 0.000 0.000 0.537
4 Be 0.500 0.500 0.738

Total energy ... -36.542 eV per cell
Space-group type ... P4mm, No. 99
Energy relative to the elements ... -142 meV per atom
N(E_F) ... 3.6 states/eV/f.u.


15.
The following is a DFT calculation (PBE) of a relaxed BeReSiRh crystal.

abc: 4.098 4.098 4.098
angles: 60.00 60.00 60.00
Sites, in units of the cell vectors:
1 Re 0.000 0.000 0.000
2 Si 0.250 0.250 0.250
3 Rh 0.500 0.500 0.500
4 Be 0.750 0.750 0.750

Total energy ... -30.403 eV per cell
Space-group type ... F-43m, No. 216
E_form (uncorrected) ... -1.454 eV per formula unit
N(E_F) ... 3.0 states/eV/f.u.


16.
The following is a DFT calculation (PBE) of a relaxed BeRe2SiRh crystal.

abc: 4.418 3.970 4.418
angles: 90.00 90.00 90.00
Sites, in units of the cell vectors:
1 Re 0.000 0.000 0.500
2 Re 0.500 0.000 0.000
3 Si 0.000 0.000 0.000
4 Rh 0.500 0.500 0.500
5 Be 0.000 0.500 0.000

Total energy ... -35.474 eV per cell
Space-group type ... P4/mmm, No. 123
E_form (uncorrected) ... 5.923 eV per formula unit
N(E_F) ... 6.0 states/eV/f.u.


17.
The following is a DFT calculation (PBE) of a relaxed Be2VReRh crystal.

abc: 4.173 4.314 4.173
angles: 90.00 90.00 90.00
Sites, in units of the cell vectors:
1 Re 0.000 0.500 0.000
2 Rh 0.500 0.500 0.500
3 Be 0.000 0.000 0.500
4 Be 0.500 0.000 0.000
5 V 0.000 0.000 0.000

Total energy ... -29.392 eV per cell
Space-group type ... P4/mmm, No. 123
Energy relative to the elements ... 1396 meV per atom
N(E_F) ... 4.5 states/eV/f.u.


18.
The following is a DFT calculation (PBE) of a relaxed BeVReRh crystal.

abc: 4.162 4.162 4.162
angles: 60.00 60.00 60.00
Sites, in units of the cell vectors:
1 Re 0.250 0.250 0.250
2 Rh 0.750 0.750 0.750
3 Be 0.000 0.000 0.000
4 V 0.500 0.500 0.500

Total energy ... -33.565 eV per cell
Space-group type ... F-43m, No. 216
Energy relative to the elements ... -230 meV per atom
N(E_F) ... 2.6 states/eV/f.u.


19.
The following is a DFT calculation (PBE) of a relaxed Be2ReRu crystal.

abc: 4.704 4.704 3.967
angles: 64.94 64.94 35.09
Sites, in units of the cell vectors:
1 Re 0.511 0.511 0.490
2 Be 0.985 0.985 0.017
3 Be 0.268 0.268 0.231
4 Ru 0.737 0.737 0.762

Total energy ... -29.597 eV per cell
Space-group type ... Cm, No. 8
Energy relative to the elements ... -105 meV per atom
E above lowest polymorph ... 0.070 eV per atom
N(E_F) ... 1.9 states/eV/f.u.


20.
The following is a DFT calculation (PBE) of a relaxed Be4ReRu crystal.

abc: 4.358 4.358 4.358
angles: 60.00 60.00 60.00
Sites, in units of the cell vectors:
1 Be 0.131 0.623 0.623
2 Be 0.623 0.623 0.623
3 Be 0.623 0.131 0.623
4 Be 0.623 0.623 0.131
5 Re 0.250 0.250 0.250
6 Ru 0.000 0.000 0.000

Total energy ... -38.641 eV per cell
Space-group type ... F-43m, No. 216
Energy relative to the elements ... -335 meV per atom
N(E_F) ... 1.3 states/eV/f.u.


21.
The following is a DFT calculation (PBE) of a relaxed Be2ReRu crystal.

abc: 3.982 3.982 3.982
angles: 60.00 60.00 60.00
Sites, in units of the cell vectors:
1 Re 0.500 0.500 0.500
2 Be 0.250 0.250 0.250
3 Be 0.750 0.750 0.750
4 Ru 0.000 0.000 0.000

Total energy ... -29.069 eV per cell
Space-group type ... Fm-3m, No. 225
Energy relative to the elements ... 27 meV per atom
E above lowest polymorph ... 0.202 eV per atom
N(E_F) ... 4.5 states/eV/f.u.


22.
The following is a DFT calculation (PBE) of a relaxed Be2ReRu crystal.

abc: 3.662 2.798 4.523
angles: 72.05 90.00 90.00
Sites, in units of the cell vectors:
1 Re 0.000 0.467 0.442
2 Be 0.000 0.194 0.987
3 Be 0.500 0.059 0.258
4 Ru 0.500 0.781 0.812

Total energy ... -29.878 eV per cell
Space-group type ... Amm2, No. 38
Energy relative to the elements ... -175 meV per atom
E above lowest polymorph ... 0.000 eV per atom
N(E_F) ... 1.9 states/eV/f.u.


23.
The following is a DFT calculation (PBE) of a relaxed BeReRu2 crystal.

abc: 2.851 2.851 6.250
angles: 90.00 90.00 90.00
Sites, in units of the cell vectors:
1 Re 0.500 0.500 0.750
2 Be 0.500 0.500 0.250
3 Ru 0.000 0.000 0.029
4 Ru 0.000 0.000 0.471

Total energy ... -35.376 eV per cell
Space-group type ... P4/mmm, No. 123
Energy relative to the elements ... -163 meV per atom
E above lowest polymorph ... 0.000 eV per atom
N(E_F) ... 3.1 states/eV/f.u.


24.
The following is a DFT calculation (PBE) of a relaxed BeReRu2 crystal.

abc: 3.876 2.709 5.216
angles: 72.51 90.00 90.00
Sites, in units of the cell vectors:
1 Re 0.500 0.750 0.750
2 Be 0.500 0.250 0.250
3 Ru 0.000 0.099 0.019
4 Ru 0.000 0.401 0.481

Total energy ... -34.631 eV per cell
Space-group type ... P2/m, No. 10
Energy relative to the elements ... 24 meV per atom
E above lowest polymorph ... 0.186 eV per atom
N(E_F) ... 2.5 states/eV/f.u.


25.
The following is a DFT calculation (PBE) of a relaxed BeReRu2 crystal.

abc: 2.677 2.677 8.162
angles: 90.00 90.00 115.32
Sites, in units of the cell vectors:
1 Re 0.500 0.500 0.750
2 Be 0.500 0.500 0.250
3 Ru 0.000 0.000 0.025
4 Ru 0.000 0.000 0.475

Total energy ... -33.893 eV per cell
Space-group type ... Cmmm, No. 65
Energy relative to the elements ... 208 meV per atom
E above lowest polymorph ... 0.371 eV per atom
N(E_F) ... 3.5 states/eV/f.u.


26.
The following is a DFT calculation (PBE) of a relaxed BeReRu2 crystal.

abc: 4.455 4.455 4.648
angles: 81.91 81.91 35.54
Sites, in units of the cell vectors:
1 Re 0.250 0.250 0.250
2 Be 0.750 0.750 0.750
3 Ru 0.003 0.003 0.986
4 Ru 0.497 0.497 0.514

Total energy ... -34.349 eV per cell
Space-group type ... C2/m, No. 12
Energy relative to the elements ... 94 meV per atom
E above lowest polymorph ... 0.257 eV per atom
N(E_F) ... 3.3 states/eV/f.u.


27.
The following is a DFT calculation (PBE) of a relaxed BeReRu2 crystal.

abc: 2.663 2.663 8.345
angles: 90.00 90.00 115.50
Sites, in units of the cell vectors:
1 Re 0.500 0.500 0.734
2 Be 0.000 0.000 0.494
3 Ru 0.000 0.000 0.999
4 Ru 0.500 0.500 0.273

Total energy ... -33.566 eV per cell
Space-group type ... Cmm2, No. 35
Energy relative to the elements ... 290 meV per atom
E above lowest polymorph ... 0.452 eV per atom
N(E_F) ... 4.2 states/eV/f.u.


28.
The following is a DFT calculation (PBE) of a relaxed BeReRu2 crystal.

abc: 4.892 4.892 4.892
angles: 146.62 127.46 63.69
Sites, in units of the cell vectors:
1 Re 0.750 0.250 0.500
2 Be 0.250 0.750 0.500
3 Ru 0.030 0.030 0.000
4 Ru 0.470 0.470 0.000

Total energy ... -34.940 eV per cell
Space-group type ... Immm, No. 71
Energy relative to the elements ... -54 meV per atom
E above lowest polymorph ... 0.109 eV per atom
N(E_F) ... 2.5 states/eV/f.u.


29.
The following is a DFT calculation (PBE) of a relaxed BeReRu4 crystal.

abc: 4.995 4.995 4.995
angles: 60.00 60.00 60.00
Sites, in units of the cell vectors:
1 Be 0.750 0.750 0.750
2 Re 0.000 0.000 0.000
3 Ru 0.873 0.376 0.376
4 Ru 0.376 0.376 0.873
5 Ru 0.376 0.873 0.376
6 Ru 0.376 0.376 0.376

Total energy ... -49.404 eV per cell
Space-group type ... F-43m, No. 216
Energy relative to the elements ... 646 meV per atom
N(E_F) ... 7.9 states/eV/f.u.


30.
The following is a DFT calculation (PBE) of a relaxed BeReRu2 crystal.

abc: 4.794 4.794 4.794
angles: 135.80 135.80 64.30
Sites, in units of the cell vectors:
1 Re 0.750 0.250 0.500
2 Be 0.500 0.500 0.000
3 Ru 0.000 0.000 0.000
4 Ru 0.250 0.750 0.500

Total energy ... -34.320 eV per cell
Space-group type ... I-4m2, No. 119
Energy relative to the elements ... 101 meV per atom
E above lowest polymorph ... 0.264 eV per atom
N(E_F) ... 4.6 states/eV/f.u.